Here is a relaxed structure of InReMo2 from Alexandria via LeMat-Bulk. Energies are from GGA-PBE.

Its volume is 16.87 Å³/atom. The calculated formation energy is 281 meV/atom. As for the space group: No. 10. The value obtained for the electronic total energy is -8.931 eV/atom. For the calculated density, the calculation gives 12.13 Mg/m³.

Lattice parameters (Å, degrees): 4.1306 2.8682 6.3722 63.33 90.00 90.00
With the nearest neighbours (Å) after each atom.
Sites, in units of the cell vectors:
In 0.5000 0.7500 0.7500  2 Re 2.85, 2 In 2.87, 8 Mo 2.98
Mo 0.0000 0.9708 0.0305  1 Mo 2.50
Mo 0.0000 0.5292 0.4695  1 Mo 2.50
Re 0.5000 0.2500 0.2500  8 Mo 2.81, 2 In 2.85, 2 Re 2.87



Here is a relaxed structure of InReMo from Alexandria via LeMat-Bulk. Energies are from GGA-PBE.

Its volume is 17.29 Å³/atom. The calculated formation energy is 349 meV/atom. As for the space group: No. 156. The value obtained for the electronic total energy is -8.324 eV/atom. The offset from the most stable computed form is 113.5 meV/atom. For the calculated density, the calculation gives 12.71 Mg/m³.

Lattice parameters (Å, degrees): 2.9466 2.9466 6.8999 90.00 90.00 120.00
With the nearest neighbours (Å) after each atom.
Sites, in units of the cell vectors:
In 0.0000 0.0000 0.9983  6 In 2.95, 3 Re 2.97, 3 Mo 3.00
Mo 0.6667 0.3333 0.3557  3 Re 2.63
Re 0.3333 0.6667 0.6460  3 Mo 2.63



Here is a relaxed structure of In2ReMo from Alexandria via LeMat-Bulk. Energies are from GGA-PBE.

Its volume is 17.81 Å³/atom. The calculated formation energy is 725 meV/atom. As for the space group: No. 123. The value obtained for the electronic total energy is -6.464 eV/atom. The offset from the most stable computed form is 542.8 meV/atom. For the calculated density, the calculation gives 11.93 Mg/m³.

Lattice parameters (Å, degrees): 4.6289 4.6289 3.3252 90.00 90.00 90.00
With the nearest neighbours (Å) after each atom.
Sites, in units of the cell vectors:
In 0.0000 0.0000 0.0000  4 Mo 2.85, 4 Re 2.85
In 0.5000 0.5000 0.0000  4 Mo 2.85, 4 Re 2.85
Mo 0.5000 0.0000 0.5000  8 In 2.85
Re 0.0000 0.5000 0.5000  8 In 2.85



Here is a relaxed structure of InReMo2 from Alexandria via LeMat-Bulk. Energies are from GGA-PBE.

Its volume is 16.65 Å³/atom. The calculated formation energy is 419 meV/atom. As for the space group: No. 12. The value obtained for the electronic total energy is -8.794 eV/atom. For the calculated density, the calculation gives 12.29 Mg/m³.

Lattice parameters (Å, degrees): 5.2698 5.5126 2.7774 76.08 82.09 117.36
With the nearest neighbours (Å) after each atom.
Sites, in units of the cell vectors:
In 0.5000 0.0000 0.5000  2 Re 2.77, 2 In 2.78, 4 Mo 2.80
Mo 0.0000 0.0000 0.0000  4 Mo 2.77-2.78, 2 Re 2.80, 2 In 2.80
Mo 0.0000 0.5000 0.5000  4 Mo 2.77-2.78, 2 In 2.80, 2 Re 2.80
Re 0.5000 0.5000 0.0000  2 In 2.77, 2 Re 2.78, 4 Mo 2.80



Here is a relaxed structure of In2ReMo from Alexandria via LeMat-Bulk. Energies are from GGA-PBE.

Its volume is 19.66 Å³/atom. The calculated formation energy is 465 meV/atom. As for the space group: No. 35. The value obtained for the electronic total energy is -6.724 eV/atom. The offset from the most stable computed form is 282.5 meV/atom. For the calculated density, the calculation gives 10.81 Mg/m³.

Lattice parameters (Å, degrees): 2.9234 2.9234 9.9986 90.00 90.00 113.02
With the nearest neighbours (Å) after each atom.
Sites, in units of the cell vectors:
In 0.0000 0.0000 0.9739  6 In 2.92-3.23, 2 Re 2.99
In 0.5000 0.5000 0.2766  6 In 2.92-3.23, 2 Mo 2.98
Mo 0.0000 0.0000 0.5270  2 Re 2.53
Re 0.5000 0.5000 0.7224  2 Mo 2.53



Here is a relaxed structure of InReMo2 from Alexandria via LeMat-Bulk. Energies are from GGA-PBE.

Its volume is 16.91 Å³/atom. The calculated formation energy is 312 meV/atom. As for the space group: No. 65. The value obtained for the electronic total energy is -8.900 eV/atom. For the calculated density, the calculation gives 12.10 Mg/m³.

Lattice parameters (Å, degrees): 2.8109 2.8109 9.1455 90.00 90.00 110.62
With the nearest neighbours (Å) after each atom.
Sites, in units of the cell vectors:
In 0.5000 0.5000 0.7500  4 In 2.81, 4 Mo 2.92
Mo 0.0000 0.0000 0.0168  2 Re 2.67, 4 Mo 2.81, 2 In 2.92
Mo 0.0000 0.0000 0.4832  2 Re 2.67, 4 Mo 2.81, 2 In 2.92
Re 0.5000 0.5000 0.2500  4 Mo 2.67, 4 Re 2.81